First-principles (PBE) data for crystalline Pr10Nd4Dy at its relaxed geometry, as listed in the Alexandria database.

abc: 8.031 9.183 9.183
angles: 78.98 64.07 64.07
Element x y z (fractional)
Nd: 0.228 0.544 0.000
Nd: 0.772 0.456 0.000
Nd: 0.772 0.000 0.456
Nd: 0.228 0.000 0.544
Pr: 0.289 0.213 0.788
Pr: 0.711 0.213 0.788
Pr: 0.250 0.500 0.500
Pr: 0.499 0.212 0.213
Pr: 0.711 0.787 0.212
Pr: 0.289 0.787 0.212
Pr: 0.924 0.788 0.787
Pr: 0.750 0.500 0.500
Pr: 0.076 0.212 0.213
Pr: 0.501 0.788 0.787
Dy: 0.000 0.000 0.000

Summary:
The value obtained for the mass density is 6.51 g/cm3. As for the energy of formation: 3.22 eV/f.u. For the density of states at the Fermi level, the calculation gives 21.71 states/eV/f.u. The total moment is 0.0 μB/f.u. For the volume, the calculation gives 36.52 A^3/atom. The space-group type is I4/mmm.

***

First-principles (PBE) data for crystalline PrNd6Dy4 at its relaxed geometry, as listed in the Alexandria database.

abc: 10.011 10.011 10.011
angles: 55.50 141.56 141.56
Element x y z (fractional)
Dy: 0.628 0.991 0.991
Dy: 0.000 0.637 0.009
Dy: 0.000 0.009 0.637
Dy: 0.372 0.363 0.363
Nd: 0.500 0.000 0.500
Nd: 0.500 0.500 0.000
Nd: 0.642 0.186 0.186
Nd: 0.000 0.457 0.814
Nd: 0.000 0.814 0.457
Nd: 0.358 0.543 0.543
Pr: 0.000 0.000 0.000

Summary:
The value obtained for the mass density is 7.14 g/cm3. As for the energy of formation: 3.23 eV/f.u. For the density of states at the Fermi level, the calculation gives 17.70 states/eV/f.u. The total moment is 0.0 μB/f.u. For the volume, the calculation gives 35.00 A^3/atom. The calculation puts the excess energy over the best structure of this formula in the dataset at 143 meV per atom. The space-group type is I-42m.

***

First-principles (PBE) data for crystalline Pr3Nd8Dy4 at its relaxed geometry, as listed in the Alexandria database.

abc: 6.947 9.373 9.373
angles: 82.17 111.67 111.67
Element x y z (fractional)
Nd: 0.205 0.706 0.706
Nd: 0.500 0.247 0.753
Nd: 0.000 0.295 0.705
Nd: 0.500 0.753 0.247
Nd: 0.756 0.754 0.754
Nd: 0.795 0.294 0.294
Nd: 0.244 0.246 0.246
Nd: 0.000 0.705 0.295
Dy: 0.000 0.500 0.000
Dy: 0.500 0.000 0.000
Dy: 0.000 0.000 0.500
Dy: 0.000 0.000 0.000
Pr: 0.500 0.500 0.000
Pr: 0.500 0.000 0.500
Pr: 0.500 0.500 0.500

Summary:
The value obtained for the mass density is 7.02 g/cm3. As for the energy of formation: 4.83 eV/f.u. For the density of states at the Fermi level, the calculation gives 23.44 states/eV/f.u. The total moment is 0.0 μB/f.u. For the volume, the calculation gives 35.13 A^3/atom. The space-group type is C2/m.

***

First-principles (PBE) data for crystalline Pr7Nd16Dy6 at its relaxed geometry, as listed in the Alexandria database.

abc: 11.444 11.444 11.444
angles: 60.00 60.00 60.00
Element x y z (fractional)
Nd: 0.651 0.651 0.047
Nd: 0.651 0.651 0.651
Nd: 0.126 0.126 0.622
Nd: 0.047 0.651 0.651
Nd: 0.126 0.126 0.126
Nd: 0.622 0.126 0.126
Nd: 0.874 0.378 0.874
Nd: 0.874 0.874 0.874
Nd: 0.651 0.047 0.651
Nd: 0.874 0.874 0.378
Nd: 0.349 0.953 0.349
Nd: 0.349 0.349 0.953
Nd: 0.126 0.622 0.126
Nd: 0.378 0.874 0.874
Nd: 0.953 0.349 0.349
Nd: 0.349 0.349 0.349
Pr: 0.500 0.500 0.000
Pr: 0.000 0.000 0.000
Pr: 0.000 0.500 0.000
Pr: 0.000 0.500 0.500
Pr: 0.000 0.000 0.500
Pr: 0.500 0.000 0.500
Pr: 0.500 0.000 0.000
Dy: 0.736 0.736 0.264
Dy: 0.264 0.736 0.736
Dy: 0.736 0.264 0.736
Dy: 0.264 0.264 0.736
Dy: 0.264 0.736 0.264
Dy: 0.736 0.264 0.264

Summary:
The value obtained for the mass density is 6.69 g/cm3. As for the energy of formation: 6.61 eV/f.u. For the density of states at the Fermi level, the calculation gives 39.91 states/eV/f.u. The total moment is 0.0 μB/f.u. For the volume, the calculation gives 36.54 A^3/atom. The space-group type is Fm-3m.

***

First-principles (PBE) data for crystalline PrNd6Dy4 at its relaxed geometry, as listed in the Alexandria database.

abc: 3.602 11.144 11.144
angles: 120.00 90.00 90.00
Element x y z (fractional)
Nd: 0.500 0.183 0.366
Nd: 0.500 0.183 0.817
Nd: 0.000 0.524 0.476
Nd: 0.000 0.953 0.476
Nd: 0.500 0.634 0.817
Nd: 0.000 0.524 0.047
Dy: 0.500 0.324 0.162
Dy: 0.500 0.838 0.162
Dy: 0.000 0.333 0.667
Dy: 0.500 0.838 0.676
Pr: 0.000 0.000 0.000

Summary:
The value obtained for the mass density is 7.10 g/cm3. As for the energy of formation: 1.66 eV/f.u. For the density of states at the Fermi level, the calculation gives 15.25 states/eV/f.u. The total moment is 0.0 μB/f.u. For the volume, the calculation gives 35.22 A^3/atom. The calculation puts the excess energy over the best structure of this formula in the dataset at 0 meV per atom. The space-group type is P-6m2.

***

First-principles (PBE) data for crystalline PrNd5Dy at its relaxed geometry, as listed in the Alexandria database.

abc: 5.931 8.073 8.073
angles: 66.32 68.45 68.45
Element x y z (fractional)
Nd: 0.500 0.176 0.824
Nd: 0.749 0.251 0.251
Nd: 0.500 0.824 0.176
Nd: 0.251 0.749 0.749
Nd: 0.000 0.500 0.500
Pr: 0.500 0.500 0.500
Dy: 0.000 0.000 0.000

Summary:
The value obtained for the mass density is 5.35 g/cm3. As for the energy of formation: 6.72 eV/f.u. For the density of states at the Fermi level, the calculation gives 12.93 states/eV/f.u. The total moment is 0.1 μB/f.u. For the volume, the calculation gives 45.44 A^3/atom. The calculation puts the excess energy over the best structure of this formula in the dataset at 896 meV per atom. The space-group type is Immm.

***

First-principles (PBE) data for crystalline Pr3Nd12Dy at its relaxed geometry, as listed in the Alexandria database.

abc: 5.203 5.203 20.791
angles: 90.00 90.00 90.00
Element x y z (fractional)
Nd: 0.500 0.500 0.000
Nd: 0.500 0.500 0.752
Nd: 0.000 0.500 0.375
Nd: 0.500 0.000 0.877
Nd: 0.500 0.000 0.625
Nd: 0.000 0.500 0.123
Nd: 0.000 0.500 0.625
Nd: 0.500 0.000 0.375
Nd: 0.500 0.500 0.500
Nd: 0.500 0.000 0.123
Nd: 0.500 0.500 0.248
Nd: 0.000 0.500 0.877
Pr: 0.000 0.000 0.249
Pr: 0.000 0.000 0.751
Pr: 0.000 0.000 0.500
Dy: 0.000 0.000 0.000

Summary:
The value obtained for the mass density is 6.83 g/cm3. As for the energy of formation: 0.18 eV/f.u. For the density of states at the Fermi level, the calculation gives 24.98 states/eV/f.u. The total moment is 0.0 μB/f.u. For the volume, the calculation gives 35.17 A^3/atom. The space-group type is P4/mmm.

***

First-principles (PBE) data for crystalline Pr2Nd3Dy6 at its relaxed geometry, as listed in the Alexandria database.

abc: 4.802 4.802 17.050
angles: 98.10 98.10 90.00
Element x y z (fractional)
Dy: 0.879 0.379 0.758
Dy: 0.307 0.307 0.614
Dy: 0.121 0.621 0.242
Dy: 0.693 0.693 0.386
Dy: 0.379 0.879 0.758
Dy: 0.621 0.121 0.242
Pr: 0.546 0.546 0.093
Pr: 0.454 0.454 0.907
Nd: 0.796 0.796 0.592
Nd: 0.000 0.000 0.000
Nd: 0.204 0.204 0.408

Summary:
The value obtained for the mass density is 7.28 g/cm3. As for the energy of formation: 2.78 eV/f.u. For the density of states at the Fermi level, the calculation gives 15.73 states/eV/f.u. The total moment is 0.0 μB/f.u. For the volume, the calculation gives 35.02 A^3/atom. The calculation puts the excess energy over the best structure of this formula in the dataset at 71 meV per atom. The space-group type is I4/mmm.

***

First-principles (PBE) data for crystalline Pr4Nd6Dy at its relaxed geometry, as listed in the Alexandria database.

abc: 6.782 6.782 9.921
angles: 109.99 109.99 90.00
Element x y z (fractional)
Nd: 0.487 0.865 0.352
Nd: 0.135 0.135 0.648
Nd: 0.500 0.000 0.000
Nd: 0.513 0.513 0.648
Nd: 0.865 0.487 0.352
Nd: 0.000 0.500 0.000
Pr: 0.305 0.305 0.255
Pr: 0.695 0.050 0.745
Pr: 0.950 0.950 0.255
Pr: 0.050 0.695 0.745
Dy: 0.500 0.500 0.000

Summary:
The value obtained for the mass density is 6.62 g/cm3. As for the energy of formation: 2.97 eV/f.u. For the density of states at the Fermi level, the calculation gives 16.99 states/eV/f.u. The total moment is 0.0 μB/f.u. For the volume, the calculation gives 36.31 A^3/atom. The calculation puts the excess energy over the best structure of this formula in the dataset at 0 meV per atom. The space-group type is I-42m.

***

First-principles (PBE) data for crystalline PrNd14Dy at its relaxed geometry, as listed in the Alexandria database.

abc: 7.348 7.348 10.393
angles: 90.00 90.00 90.00
Element x y z (fractional)
Nd: 0.626 0.374 0.249
Nd: 0.875 0.125 0.500
Nd: 0.124 0.374 0.751
Nd: 0.875 0.625 0.000
Nd: 0.626 0.374 0.751
Nd: 0.375 0.125 0.500
Nd: 0.124 0.876 0.751
Nd: 0.124 0.374 0.249
Nd: 0.626 0.876 0.249
Nd: 0.375 0.625 0.500
Nd: 0.124 0.876 0.249
Nd: 0.626 0.876 0.751
Nd: 0.375 0.125 0.000
Nd: 0.875 0.625 0.500
Dy: 0.875 0.125 0.000
Pr: 0.375 0.625 0.000

Summary:
The value obtained for the mass density is 6.87 g/cm3. As for the energy of formation: 0.20 eV/f.u. For the density of states at the Fermi level, the calculation gives 25.65 states/eV/f.u. The total moment is 0.0 μB/f.u. For the volume, the calculation gives 35.07 A^3/atom. The space-group type is Amm2.